Material: MnMo2IrO
Method: DFT, PBE+U
State: relaxed

```
MnMo2IrO
1.0
5.428 0.000 0.000
0.000 5.428 0.000
0.000 0.000 3.671
Mn Mo Ir O
1 2 1 1
Direct
0.000 0.000 0.000
0.000 0.500 0.500
0.500 0.000 0.500
0.500 0.500 0.500
0.500 0.500 0.000
```

Output
V ... 21.63 Å³/atom
Space-group type ... No. 123
Raw total energy ... -5.6730 eV per atom